1.
First-principles (PBE-GGA) data for a relaxed structure of SrS4Cl, as listed in Alexandria. Values from VASP.

Results
space-group type = No. 2
total moment = 0.3 μB/f.u.
calculated total energy = -4.162 eV/atom
formation energy (no corrections) = -822 meV per atom

```
&SYSTEM
  ibrav = 0, nat = 12, ntyp = 3
/
ATOMIC_SPECIES
Sr 87.62 Sr.upf
S 32.06 S.upf
Cl 35.45 Cl.upf
CELL_PARAMETERS angstrom
-1.222 -3.378 4.257
-10.177 -13.685 -0.993
0.343 -8.309 1.160
ATOMIC_POSITIONS crystal
Sr 0.794 0.836 0.718
Sr 0.206 0.164 0.282
S 0.212 0.779 0.304
S 0.198 0.960 0.050
S 0.116 0.437 0.841
S 0.637 0.444 0.110
S 0.788 0.221 0.696
S 0.884 0.563 0.159
S 0.802 0.040 0.950
S 0.363 0.556 0.890
Cl 0.749 0.113 0.326
Cl 0.251 0.887 0.674
```

=====

2.
First-principles (PBE-GGA) data for a relaxed structure of Sr5S4Cl, as listed in Alexandria. Values from VASP.

Results
space-group type = No. 71
total moment = 0.0 μB/f.u.
calculated total energy = -4.733 eV/atom
formation energy (no corrections) = -2056 meV per atom

```
&SYSTEM
  ibrav = 0, nat = 10, ntyp = 3
/
ATOMIC_SPECIES
Sr 87.62 Sr.upf
S 32.06 S.upf
Cl 35.45 Cl.upf
CELL_PARAMETERS angstrom
-2.616 -2.400 -2.397
1.931 -4.951 2.851
-7.408 4.848 7.057
ATOMIC_POSITIONS crystal
Sr 0.608 0.108 0.216
Sr 0.801 0.301 0.601
Sr 0.199 0.699 0.399
Sr 0.000 0.500 0.000
Sr 0.392 0.892 0.784
S 0.402 0.402 0.805
S 0.800 0.800 0.599
S 0.200 0.200 0.401
S 0.598 0.598 0.195
Cl 0.000 0.000 0.000
```

=====

3.
First-principles (PBE-GGA) data for a relaxed structure of SrSCl3, as listed in Alexandria. Values from VASP.

Results
excess energy over the best structure of this formula in the dataset = 0 meV/atom
space-group type = No. 221
total moment = 0.0 μB/f.u.
calculated total energy = -3.064 eV/atom
formation energy (no corrections) = -794 meV per atom

```
&SYSTEM
  ibrav = 0, nat = 5, ntyp = 3
/
ATOMIC_SPECIES
Sr 87.62 Sr.upf
S 32.06 S.upf
Cl 35.45 Cl.upf
CELL_PARAMETERS angstrom
-0.989 -0.581 4.996
-4.565 -2.036 -1.141
2.113 -4.669 -0.125
ATOMIC_POSITIONS crystal
Sr 0.500 0.500 0.500
S 0.000 0.000 0.000
Cl 0.000 0.500 0.000
Cl 0.000 0.000 0.500
Cl 0.500 0.000 0.000
```